No. 1
Material: CuTePb2
Method: DFT, SCAN
State: single point on PBEsol structure

Output
- Formation energy from raw total energies: 0.67 eV/f.u.

a = 3.4151 Å, b = 3.4151 Å, c = 8.9108 Å
α = 90.00°, β = 90.00°, γ = 105.10°
Element x y z (fractional)
Cu1 0.0000 0.0000 0.0000
Te1 0.5000 0.5000 0.8237
Pb1 0.0000 0.0000 0.5151
Pb2 0.5000 0.5000 0.2103

No. 2
Material: CuTePb2
Method: DFT, SCAN
State: single point on PBEsol structure

Output
- Formation energy from raw total energies: 0.38 eV/f.u.

a = 7.2787 Å, b = 7.2787 Å, c = 7.2787 Å
α = 33.63°, β = 33.63°, γ = 33.63°
Element x y z (fractional)
Cu1 0.0000 0.0000 0.0000
Te1 0.5000 0.5000 0.5000
Pb1 0.2661 0.2661 0.2661
Pb2 0.7339 0.7339 0.7339

No. 3
Material: CuTePb2
Method: DFT, SCAN
State: single point on PBEsol structure

Output
- Formation energy from raw total energies: 1.24 eV/f.u.

a = 5.1319 Å, b = 5.1319 Å, c = 3.9047 Å
α = 90.00°, β = 90.00°, γ = 90.00°
Element x y z (fractional)
Cu1 0.0000 0.0000 0.0000
Te1 0.5000 0.5000 0.0000
Pb1 0.0000 0.5000 0.5000
Pb2 0.5000 0.0000 0.5000

No. 4
Material: CuTePb2
Method: DFT, SCAN
State: single point on PBEsol structure

Output
- Formation energy from raw total energies: 0.28 eV/f.u.

a = 4.0054 Å, b = 6.5467 Å, c = 6.5467 Å
α = 36.72°, β = 90.00°, γ = 90.00°
Element x y z (fractional)
Cu1 0.0000 0.0000 0.0000
Te1 0.5000 0.1380 0.1380
Pb1 0.0000 0.7748 0.7748
Pb2 0.5000 0.4342 0.4342

No. 5
Material: Cu2TePb
Method: DFT, SCAN
State: single point on PBEsol structure

Output
- Formation energy from raw total energies: 1.39 eV/f.u.

a = 5.0478 Å, b = 5.0478 Å, c = 5.0478 Å
α = 133.53°, β = 116.46°, γ = 82.28°
Element x y z (fractional)
Cu1 0.2398 0.2398 0.0000
Cu2 0.7602 0.7602 0.0000
Te1 0.0000 0.5000 0.5000
Pb1 0.5000 0.0000 0.5000

No. 6
Material: CuTePb
Method: DFT, SCAN
State: single point on PBEsol structure

Output
- Formation energy from raw total energies: 1.57 eV/f.u.

a = 4.9814 Å, b = 4.9814 Å, c = 4.9814 Å
α = 60.00°, β = 60.00°, γ = 60.00°
Element x y z (fractional)
Cu1 0.0000 0.0000 0.0000
Te1 0.5000 0.5000 0.5000
Pb1 0.2500 0.2500 0.2500